No. 1
First-principles (PBE) data for an optimized crystal structure of Li4YBr, as listed in Alexandria.

Cell: 5.853 5.853 5.853 Å, 60.00 60.00 60.00°
Fractional coordinates of all 6 atoms:
1 Li 0.125 0.125 0.125
2 Li 0.125 0.125 0.626
3 Li 0.125 0.626 0.125
4 Li 0.626 0.125 0.125
5 Y 0.750 0.750 0.750
6 Br 0.500 0.500 0.500

energy relative to the elements, uncorrected	1.4	kJ per mole of atoms
total DFT energy (no corrections)	-2.618	eV/atom



No. 2
First-principles (PBE) data for an optimized crystal structure of PmSc2Ga4, as listed in Alexandria.

Cell: 9.326 9.326 9.326 Å, 154.72 154.65 36.11°
Fractional coordinates of all 7 atoms:
1 Pm 0.000 0.000 0.000
2 Sc 0.313 0.813 0.500
3 Sc 0.687 0.187 0.500
4 Ga 0.154 0.654 0.500
5 Ga 0.429 0.429 0.000
6 Ga 0.571 0.571 0.000
7 Ga 0.846 0.346 0.500

total DFT energy (no corrections)	-4.836	eV/atom
formation energy from the elements	-0.62	eV/atom



- Which of these has the lowest total DFT energy (no corrections)?
  PmSc2Ga4